Record 1
Here is crystalline K5Au at its relaxed geometry from Alexandria. Energies are from GGA-PBEsol.

Structure (POSCAR):
```
K5Au
1.0
4.7459 0.0000 0.0000
0.0000 9.2209 0.0000
0.0000 -4.6104 7.9855
K Au
5 1
Direct
0.5000 0.3333 0.6667
0.5000 0.6667 0.3333
0.0000 0.0000 0.7531
0.0000 0.7531 0.0000
0.0000 0.2469 0.2469
0.5000 0.0000 0.0000
```

Computed properties:
Magnetic moment (μB/f.u.): 0.0
Energy above the lowest structure with this stoichiometry (eV/f.u.): 0.41
Symmetry: P-62m, No. 189
Calculated formation energy (eV per formula unit): 0.2

Record 2
Here is crystalline MgSiSe2Br at its relaxed geometry from Alexandria. Energies are from GGA-PBEsol.

Structure (POSCAR):
```
MgSiSe2Br
1.0
-1.7614 -3.5164 3.0302
1.0929 -3.4716 -3.3935
4.5223 -0.5369 2.0057
Mg Se Br Si
1 2 1 1
Direct
0.0000 0.0000 0.0000
0.0000 0.0000 0.5000
0.0000 0.5000 0.0000
0.5000 0.0000 0.0000
0.5000 0.5000 0.5000
```

Computed properties:
Magnetic moment (μB/f.u.): 0.0
Symmetry: P4/mmm, No. 123
ΔE_f (raw) (meV per atom): 160

Record 3
Here is crystalline LiTiSb2 at its relaxed geometry from Alexandria. Energies are from GGA-PBEsol.

Structure (POSCAR):
```
LiTiSb2
1.0
-3.5185 -2.7600 -4.1791
5.9127 -1.5464 0.3332
-2.3781 -1.6125 5.4043
Sb Li Ti
4 2 2
Direct
0.3774 0.3750 0.5024
0.1250 0.6226 0.9976
0.6250 0.1274 0.0024
0.8726 0.8750 0.4976
0.7500 0.2500 0.5000
0.5000 0.5000 0.0000
0.2500 0.7500 0.5000
0.0000 0.0000 0.0000
```

Computed properties:
Magnetic moment (μB/f.u.): 0.6
Symmetry: I-42d, No. 122
ΔE_f (raw) (meV per atom): -131

Record 4
Here is crystalline ScZnAu2 at its relaxed geometry from Alexandria. Energies are from GGA-PBEsol.

Structure (POSCAR):
```
ScZnAu2
1.0
-2.7803 -0.8324 2.9611
-2.3257 -2.0487 -2.7597
4.4520 -1.8651 0.7530
Zn Sc Au
1 1 2
Direct
0.2501 0.7501 0.5002
0.5000 0.5000 0.0001
0.7500 0.2500 0.5000
0.9999 0.9999 0.9998
```

Computed properties:
Magnetic moment (μB/f.u.): 0.0
Symmetry: I-4m2, No. 119
Calculated formation energy (eV per formula unit): -2.3

Record 5
Here is crystalline BiAsH3 at its relaxed geometry from Alexandria. Energies are from GGA-PBEsol.

Structure (POSCAR):
```
BiAsH3
1.0
4.0617 0.0000 0.0000
0.0000 4.0617 0.0000
0.0000 0.0000 4.0617
As Bi H
1 1 3
Direct
0.5000 0.5000 0.5000
0.0000 0.0000 0.0000
0.5000 0.0000 0.0000
0.0000 0.0000 0.5000
0.0000 0.5000 0.0000
```

Computed properties:
Magnetic moment (μB/f.u.): 0.0
Energy (eV per atom): -2.973
Symmetry: Pm-3m, No. 221

Record 6
Here is crystalline CuReNi2 at its relaxed geometry from Alexandria. Energies are from GGA-PBEsol.

Structure (POSCAR):
```
CuReNi2
1.0
-0.9904 -1.2860 -2.0377
0.4876 -2.5417 -0.2984
-6.7941 -3.0573 3.5663
Ni Re Cu
2 1 1
Direct
0.2519 0.2519 0.2444
0.7481 0.7481 0.7556
0.5000 0.5000 0.5000
0.0000 0.0000 0.0000
```

Computed properties:
Magnetic moment (μB/f.u.): 0.0
Energy above the lowest structure with this stoichiometry (eV/f.u.): 0.40
Symmetry: R-3m, No. 166
Calculated formation energy (eV per formula unit): 0.3

| no. | V (Å³/cell) |
| --- | --- |
| 1 | 349.5 |
| 2 | 122.9 |
| 3 | 173.1 |
| 4 | 67.2 |
| 5 | 67.0 |
| 6 | 47.7 |